# Ca3InF (SCAN, single point on PBEsol structure)
data_Ca3InF
_chemical_formula_sum 'Ca3 In1 F1'
_cell_length_a 4.899
_cell_length_b 4.899
_cell_length_c 4.899
_cell_angle_alpha 90.00
_cell_angle_beta 90.00
_cell_angle_gamma 90.00
_space_group_name_H-M_alt 'P m -3 m'
_space_group_IT_number 221
_space_group_name_Hall '-P 4 2 3'
loop_
_atom_site_label
_atom_site_type_symbol
_atom_site_fract_x
_atom_site_fract_y
_atom_site_fract_z
Ca1 Ca 0.000 0.000 0.500
In1 In 0.500 0.500 0.500
F1 F 0.000 0.000 0.000
# DOS(E_F): 0.05 states/eV per atom
# energy relative to the elements, uncorrected: -7.19 eV per formula unit

---

# CaInPtF2 (SCAN, single point on PBEsol structure)
data_CaInPtF2
_chemical_formula_sum 'Ca1 In1 Pt1 F2'
_cell_length_a 4.092
_cell_length_b 4.092
_cell_length_c 6.034
_cell_angle_alpha 90.00
_cell_angle_beta 90.00
_cell_angle_gamma 90.00
_space_group_name_H-M_alt 'P 4/m m m'
_space_group_IT_number 123
_space_group_name_Hall '-P 4 2'
loop_
_atom_site_label
_atom_site_type_symbol
_atom_site_fract_x
_atom_site_fract_y
_atom_site_fract_z
Ca1 Ca 0.000 0.000 0.000
In1 In 0.500 0.500 0.500
Pt1 Pt 0.000 0.000 0.500
F1 F 0.000 0.500 0.000
# DOS(E_F): 0.12 states/eV per atom
# energy relative to the elements, uncorrected: -9.82 eV per formula unit

---

# Ca2IrF2 (SCAN, single point on PBEsol structure)
data_Ca2IrF2
_chemical_formula_sum 'Ca4 Ir2 F4'
_cell_length_a 3.508
_cell_length_b 3.508
_cell_length_c 13.190
_cell_angle_alpha 90.00
_cell_angle_beta 90.00
_cell_angle_gamma 90.00
_space_group_name_H-M_alt 'I 4/m m m'
_space_group_IT_number 139
_space_group_name_Hall '-I 4 2'
loop_
_atom_site_label
_atom_site_type_symbol
_atom_site_fract_x
_atom_site_fract_y
_atom_site_fract_z
Ca1 Ca 0.000 0.000 0.142
Ir1 Ir 0.000 0.000 0.500
F1 F 0.000 0.500 0.250
# DOS(E_F): 0.77 states/eV per atom
# energy relative to the elements, uncorrected: -11.51 eV per formula unit

---

# CaIrNF2 (SCAN, single point on PBEsol structure)
data_CaIrNF2
_chemical_formula_sum 'Ca1 Ir1 N1 F2'
_cell_length_a 4.407
_cell_length_b 4.407
_cell_length_c 3.741
_cell_angle_alpha 90.00
_cell_angle_beta 90.00
_cell_angle_gamma 90.00
_space_group_name_H-M_alt 'P 4/m m m'
_space_group_IT_number 123
_space_group_name_Hall '-P 4 2'
loop_
_atom_site_label
_atom_site_type_symbol
_atom_site_fract_x
_atom_site_fract_y
_atom_site_fract_z
Ca1 Ca 0.000 0.000 0.000
Ir1 Ir 0.500 0.500 0.500
N1 N 0.500 0.500 0.000
F1 F 0.000 0.500 0.500
# DOS(E_F): 0.26 states/eV per atom
# energy relative to the elements, uncorrected: -5.69 eV per formula unit

---

# CaYIr2F (SCAN, single point on PBEsol structure)
data_CaYIr2F
_chemical_formula_sum 'Ca1 Y1 Ir2 F1'
_cell_length_a 4.728
_cell_length_b 4.728
_cell_length_c 6.704
_cell_angle_alpha 90.00
_cell_angle_beta 90.00
_cell_angle_gamma 90.00
_space_group_name_H-M_alt 'P 4/m m m'
_space_group_IT_number 123
_space_group_name_Hall '-P 4 2'
loop_
_atom_site_label
_atom_site_type_symbol
_atom_site_fract_x
_atom_site_fract_y
_atom_site_fract_z
Ca1 Ca 0.000 0.000 0.000
Y1 Y 0.000 0.000 0.500
Ir1 Ir 0.000 0.500 0.500
F1 F 0.500 0.500 0.000
# DOS(E_F): 0.43 states/eV per atom
# energy relative to the elements, uncorrected: 4.66 eV per formula unit

---

# KCaNb2O6F (SCAN, single point on PBEsol structure)
data_KCaNb2O6F
_chemical_formula_sum 'K4 Ca4 Nb8 O24 F4'
_cell_length_a 7.403
_cell_length_b 7.554
_cell_length_c 10.649
_cell_angle_alpha 90.00
_cell_angle_beta 90.00
_cell_angle_gamma 90.00
_space_group_name_H-M_alt 'I m m a'
_space_group_IT_number 74
_space_group_name_Hall '-I 2b 2'
loop_
_atom_site_label
_atom_site_type_symbol
_atom_site_fract_x
_atom_site_fract_y
_atom_site_fract_z
K1 K 0.250 0.250 0.250
Ca1 Ca 0.000 0.000 0.000
Nb1 Nb 0.000 0.000 0.500
Nb2 Nb 0.250 0.250 0.750
O1 O 0.000 0.250 0.440
O2 O 0.000 0.250 0.818
O3 O 0.196 0.063 0.622
F1 F 0.000 0.250 0.097
# DOS(E_F): 0.00 states/eV per atom
# energy relative to the elements, uncorrected: -33.05 eV per formula unit

---

Number 1: final energy -14.622 eV/atom. Number 2: final energy -26.028 eV/atom. Number 3: final energy -21.803 eV/atom. Number 4: final energy -20.565 eV/atom. Number 5: final energy -35.718 eV/atom. Number 6: final energy -14.384 eV/atom.